The following is a DFT calculation (GGA+U) of a relaxed structure of Li2CrSi7O16.

Geometry as CIF:
```
data_Li2CrSi7O16
_cell_length_a 7.036
_cell_length_b 7.448
_cell_length_c 7.501
_cell_angle_alpha 72.57
_cell_angle_beta 62.30
_cell_angle_gamma 78.78
_symmetry_space_group_name_H-M 'P 1'
_symmetry_Int_Tables_number 1
_symmetry_space_group_name_Hall 'P 1'
loop_
_atom_site_label
_atom_site_fract_x
_atom_site_fract_y
_atom_site_fract_z
_atom_site_occupancy
Li1 0.000 0.000 0.000 1
Li2 0.334 0.677 0.866 1
Cr1 0.099 0.430 0.733 1
Si1 0.245 0.157 0.431 1
Si2 0.278 0.741 0.433 1
Si3 0.379 0.204 0.990 1
Si4 0.571 0.915 0.989 1
Si5 0.643 0.018 0.553 1
Si6 0.774 0.290 0.585 1
Si7 0.933 0.685 0.330 1
O1 0.020 0.254 0.595 1
O2 0.068 0.631 0.480 1
O3 0.098 0.743 0.095 1
O4 0.179 0.956 0.445 1
O5 0.181 0.228 0.926 1
O6 0.304 0.289 0.198 1
O7 0.313 0.621 0.636 1
O8 0.434 0.130 0.506 1
O9 0.472 0.742 0.203 1
O10 0.547 0.869 0.788 1
O11 0.579 0.339 0.800 1
O12 0.737 0.359 0.099 1
O13 0.774 0.880 0.392 1
O14 0.802 0.494 0.411 1
O15 0.809 0.961 0.912 1
O16 0.831 0.501 0.955 1
```

Energy = -7.11 eV per atom